(1)
Here is crystalline DyGaCu at its relaxed geometry from Alexandria. Energies are from GGA-PBE.

Properties
* density of states at the Fermi level: 2.18 states/eV/cell
* space-group type: I4mm
* E_form: -0.2654 eV per atom

Cell lengths 3.246, 3.246, 5.827 Å; angles 106.17, 106.17, 90.00 degrees
Fractional positions:
Ga: 0.309 0.309 0.618
Cu: 0.928 0.928 0.857
Dy: 0.613 0.613 0.225



(2)
Here is crystalline LaTe2OsF at its relaxed geometry from Alexandria. Energies are from GGA-PBE.

Properties
* density of states at the Fermi level: 3.14 states/eV/cell
* energy relative to the elements, uncorrected: -0.21 eV/atom
* space-group type: P4/mmm

Cell lengths 5.364, 3.984, 5.364 Å; angles 90.00, 90.00, 90.00 degrees
Fractional positions:
F: 0.000 0.000 0.000
Te: 0.000 0.000 0.500
Te: 0.500 0.000 0.000
Os: 0.000 0.500 0.000
La: 0.500 0.500 0.500



(3)
Here is crystalline LiFeIr2 at its relaxed geometry from Alexandria. Energies are from GGA-PBE.

Properties
* density of states at the Fermi level: 2.94 states/eV/cell
* space-group type: Immm
* E_form: -0.0271 eV per atom

Cell lengths 5.176, 5.176, 5.176 Å; angles 149.03, 127.89, 61.86 degrees
Each line ends with the local moment (μB).
Fractional positions:
Fe: 0.250 0.750 0.500  2.84
Ir: 0.018 0.018 0.000  0.32
Ir: 0.482 0.482 0.000  0.32
Li: 0.750 0.250 0.500  -0.02



(4)
Here is crystalline LiZnRe2 at its relaxed geometry from Alexandria. Energies are from GGA-PBE.

Properties
* density of states at the Fermi level: 2.69 states/eV/cell
* space-group type: Cmmm
* E_form: 0.3547 eV per atom

Cell lengths 5.065, 5.065, 2.577 Å; angles 90.00, 90.00, 119.55 degrees
Fractional positions:
Li: 0.000 0.500 0.500
Re: 0.000 0.000 0.000
Re: 0.500 0.500 0.000
Zn: 0.500 0.000 0.500



(5)
Here is crystalline TbTiF6 at its relaxed geometry from Alexandria. Energies are from GGA-PBE.

Properties
* density of states at the Fermi level: 14.68 states/eV/cell
* energy relative to the elements, uncorrected: -3.71 eV/atom
* space-group type: Immm

Cell lengths 5.923, 5.923, 5.929 Å; angles 59.94, 59.94, 59.90 degrees
Each line ends with the local moment (μB).
Fractional positions:
F: 0.237 0.763 0.237  0.00
F: 0.763 0.237 0.237  0.00
F: 0.237 0.763 0.763  0.00
F: 0.763 0.237 0.763  0.00
F: 0.237 0.237 0.763  0.00
F: 0.763 0.763 0.237  0.00
Tb: 0.500 0.500 0.500  0.03
Ti: 0.000 0.000 0.000  0.91



(6)
Here is crystalline Nd2Dy2Tl at its relaxed geometry from Alexandria. Energies are from GGA-PBE.

Properties
* excess energy over the best structure of this formula in the dataset: 0.072 eV per atom
* density of states at the Fermi level: 16.89 states/eV/cell
* space-group type: P6_3/mmc
* E_form: -0.0018 eV per atom

Cell lengths 5.500, 5.500, 12.263 Å; angles 90.00, 90.00, 120.00 degrees
Fractional positions:
Nd: 0.333 0.667 0.586
Nd: 0.667 0.333 0.086
Nd: 0.667 0.333 0.414
Nd: 0.333 0.667 0.914
Dy: 0.667 0.333 0.750
Dy: 0.000 0.000 0.000
Dy: 0.000 0.000 0.500
Dy: 0.333 0.667 0.250
Tl: 0.000 0.000 0.250
Tl: 0.000 0.000 0.750



(7)
Here is crystalline CsUH2Br8 at its relaxed geometry from Alexandria. Energies are from GGA-PBE.

Properties
* uncorrected energy: -44.611 eV/cell
* space-group type: P-1

Cell lengths 7.482, 7.467, 10.134 Å; angles 108.97, 78.36, 104.22 degrees
Each line ends with the local moment (μB).
Fractional positions:
Cs: 0.000 0.000 0.500  0.00
U: 0.000 0.000 0.000  1.23
H: 0.423 0.268 0.763  0.00
H: 0.577 0.732 0.237  0.00
Br: 0.117 0.784 0.121  -0.04
Br: 0.656 0.777 0.013  -0.04
Br: 0.906 0.239 0.258  -0.03
Br: 0.883 0.216 0.879  -0.04
Br: 0.344 0.223 0.987  -0.04
Br: 0.094 0.761 0.742  -0.03
Br: 0.520 0.709 0.379  0.00
Br: 0.480 0.291 0.621  0.00



(8)
Here is crystalline Li2LaCuF at its relaxed geometry from Alexandria. Energies are from GGA-PBE.

Properties
* density of states at the Fermi level: 1.66 states/eV/cell
* energy relative to the elements, uncorrected: -1.07 eV/atom
* space-group type: P4/mmm

Cell lengths 4.081, 5.295, 4.081 Å; angles 90.00, 90.00, 90.00 degrees
Fractional positions:
F: 0.000 0.000 0.000
Li: 0.000 0.000 0.500
Li: 0.500 0.000 0.000
Cu: 0.500 0.500 0.500
La: 0.000 0.500 0.000



Please write out number 4 again, unchanged.
Here is crystalline LiZnRe2 at its relaxed geometry from Alexandria. Energies are from GGA-PBE.

Properties
* density of states at the Fermi level: 2.69 states/eV/cell
* space-group type: Cmmm
* E_form: 0.3547 eV per atom

Cell lengths 5.065, 5.065, 2.577 Å; angles 90.00, 90.00, 119.55 degrees
Fractional positions:
Li: 0.000 0.500 0.500
Re: 0.000 0.000 0.000
Re: 0.500 0.500 0.000
Zn: 0.500 0.000 0.500